(1)
VASP calculation (PBE) on La3SiF after structural relaxation.

Cell lengths 5.0026, 5.0026, 5.0026 Å; angles 90.00, 90.00, 90.00 degrees
Atoms (fractional coordinates):
Si 0.5000 0.5000 0.5000
F 0.0000 0.0000 0.0000
La 0.0000 0.5000 0.0000
La 0.0000 0.0000 0.5000
La 0.5000 0.0000 0.0000

## Properties
The value obtained for the total DFT energy (no corrections) is -5.51 eV per atom. Its volume is 25.04 A^3/atom. Its total moment is 0.00 μB per atom. As for the symmetry: No. 221. As for the uncorrected formation energy: -1.093 eV per atom. The density of states at the Fermi level is 6.99 states/eV/cell. The energy relative to the lowest polymorph listed for this composition comes out at 0.000 eV per atom.

=====

(2)
VASP calculation (PBE) on CaAcGa2Au4 after structural relaxation.

Cell lengths 4.5977, 4.5977, 10.4209 Å; angles 77.26, 77.26, 60.00 degrees
Atoms (fractional coordinates):
Ca 0.5000 0.5000 0.5000
Ac 0.0000 0.0000 0.0000
Ga 0.7603 0.7603 0.7192
Ga 0.2397 0.2397 0.2808
Au 0.3957 0.3957 0.8129
Au 0.8879 0.8879 0.3364
Au 0.1121 0.1121 0.6636
Au 0.6043 0.6043 0.1871

## Properties
The value obtained for the total DFT energy (no corrections) is -3.77 eV per atom. Its volume is 23.06 A^3/atom. Its total moment is 0.00 μB per atom. The calculation puts the formation energy at -4.874 eV/f.u. As for the symmetry: No. 166. The density of states at the Fermi level is 4.33 states/eV/cell.

=====

(3)
VASP calculation (PBE) on Er2P3PdRh12 after structural relaxation.

Cell lengths 6.6625, 6.6625, 6.6625 Å; angles 82.89, 82.89, 82.89 degrees
Atoms (fractional coordinates):
Er 0.6236 0.6236 0.6236
Er 0.3764 0.3764 0.3764
P 0.5000 0.0000 0.0000
P 0.0000 0.5000 0.0000
P 0.0000 0.0000 0.5000
Pd 0.0000 0.0000 0.0000
Rh 0.3684 0.3684 0.9078
Rh 0.8247 0.8247 0.3355
Rh 0.3355 0.8247 0.8247
Rh 0.9078 0.3684 0.3684
Rh 0.8247 0.3355 0.8247
Rh 0.3684 0.9078 0.3684
Rh 0.6316 0.6316 0.0922
Rh 0.1753 0.1753 0.6645
Rh 0.6645 0.1753 0.1753
Rh 0.0922 0.6316 0.6316
Rh 0.1753 0.6645 0.1753
Rh 0.6316 0.0922 0.6316

## Properties
The value obtained for the total DFT energy (no corrections) is -6.83 eV per atom. Its volume is 16.08 A^3/atom. Its total moment is 0.00 μB per atom. The calculation puts the formation energy at -4.098 eV/f.u. As for the symmetry: No. 166. The density of states at the Fermi level is 18.99 states/eV/cell.

=====

(4)
VASP calculation (PBE) on NaTaPd2 after structural relaxation.

Cell lengths 4.5683, 4.5683, 4.5683 Å; angles 60.00, 60.00, 60.00 degrees
Atoms (fractional coordinates):
Na 0.0000 0.0000 0.0000
Pd 0.2500 0.2500 0.2500
Pd 0.7500 0.7500 0.7500
Ta 0.5000 0.5000 0.5000

## Properties
The value obtained for the total DFT energy (no corrections) is -5.82 eV per atom. Its volume is 16.85 A^3/atom. Its total moment is 0.00 μB per atom. The calculation puts the formation energy at 0.267 eV/f.u. As for the symmetry: No. 225. The density of states at the Fermi level is 3.27 states/eV/cell. The energy relative to the lowest polymorph listed for this composition comes out at 0.287 eV per atom.

=====

(5)
VASP calculation (PBE) on NiPS2Br after structural relaxation.

Cell lengths 4.2999, 4.2999, 5.0790 Å; angles 90.00, 90.00, 90.00 degrees
Atoms (fractional coordinates):
Ni 0.0000 0.0000 0.0000
S 0.0000 0.5000 0.0000
S 0.5000 0.0000 0.0000
Br 0.5000 0.5000 0.5000
P 0.0000 0.0000 0.5000

## Properties
The value obtained for the total DFT energy (no corrections) is -3.61 eV per atom. Its volume is 18.78 A^3/atom. Its total moment is 0.00 μB per atom. As for the symmetry: No. 123. As for the uncorrected formation energy: 0.618 eV per atom. The density of states at the Fermi level is 6.12 states/eV/cell. The energy relative to the lowest polymorph listed for this composition comes out at 0.000 eV per atom.